[1]
Entry from Alexandria via LeMat-Bulk: a geometry-optimized BeSbSe structure (PBEsol).

Results
DOS(E_F): 2.2 states/eV/f.u.
symmetry: No. 216
DFT total energy: -3.3993 eV per atom
total moment: 0.00 μB/cell

Lattice parameters (Å, degrees): 6.5322 6.5322 6.5322 90.00 90.00 90.00
Atoms (fractional coordinates):
Be  0.0000  0.0000  0.0000
Be  0.0000  0.5000  0.5000
Be  0.5000  0.0000  0.5000
Be  0.5000  0.5000  0.0000
Sb  0.2500  0.2500  0.7500
Sb  0.2500  0.7500  0.2500
Sb  0.7500  0.2500  0.2500
Sb  0.7500  0.7500  0.7500
Se  0.0000  0.0000  0.5000
Se  0.0000  0.5000  0.0000
Se  0.5000  0.0000  0.0000
Se  0.5000  0.5000  0.5000

***

[2]
Entry from Alexandria via LeMat-Bulk: a geometry-optimized BeTcSb2Se structure (PBEsol).

Results
DOS(E_F): 1.8 states/eV/f.u.
symmetry: No. 123
DFT total energy: -5.2351 eV per atom
total moment: 0.00 μB/cell

Lattice parameters (Å, degrees): 5.0602 5.0602 4.2403 90.00 90.00 90.00
Atoms (fractional coordinates):
Be  0.0000  0.0000  0.0000
Tc  0.0000  0.0000  0.5000
Sb  0.0000  0.5000  0.5000
Sb  0.5000  0.0000  0.5000
Se  0.5000  0.5000  0.0000

***

[3]
Entry from Alexandria via LeMat-Bulk: a geometry-optimized BeSi2Sb structure (PBEsol).

Results
DOS(E_F): 2.7 states/eV/f.u.
symmetry: No. 216
DFT total energy: -4.3641 eV per atom
total moment: 0.00 μB/cell

Lattice parameters (Å, degrees): 6.4085 6.4085 6.4085 90.00 90.00 90.00
Atoms (fractional coordinates):
Be  0.0000  0.0000  0.0000
Be  0.0000  0.5000  0.5000
Be  0.5000  0.0000  0.5000
Be  0.5000  0.5000  0.0000
Si  0.0000  0.0000  0.5000
Si  0.0000  0.5000  0.0000
Si  0.2500  0.2500  0.2500
Si  0.2500  0.7500  0.7500
Si  0.5000  0.0000  0.0000
Si  0.5000  0.5000  0.5000
Si  0.7500  0.2500  0.7500
Si  0.7500  0.7500  0.2500
Sb  0.2500  0.2500  0.7500
Sb  0.2500  0.7500  0.2500
Sb  0.7500  0.2500  0.2500
Sb  0.7500  0.7500  0.7500

***

[4]
Entry from Alexandria via LeMat-Bulk: a geometry-optimized BeSi2Sb structure (PBEsol).

Results
DOS(E_F): 2.2 states/eV/f.u.
symmetry: No. 123
DFT total energy: -4.5307 eV per atom
total moment: 0.00 μB/cell

Lattice parameters (Å, degrees): 2.8151 2.8151 8.3656 90.00 90.00 90.00
Atoms (fractional coordinates):
Be  0.0000  0.0000  0.0000
Si  0.5000  0.5000  0.1756
Si  0.5000  0.5000  0.8244
Sb  0.0000  0.0000  0.5000

***

[5]
Entry from Alexandria via LeMat-Bulk: a geometry-optimized BeTlSnSb2 structure (PBEsol).

Results
DOS(E_F): 2.7 states/eV/f.u.
symmetry: No. 123
DFT total energy: -3.3279 eV per atom
total moment: 0.00 μB/cell

Lattice parameters (Å, degrees): 5.8081 5.8081 4.4145 90.00 90.00 90.00
Atoms (fractional coordinates):
Be  0.0000  0.0000  0.0000
Tl  0.5000  0.5000  0.0000
Sn  0.0000  0.0000  0.5000
Sb  0.0000  0.5000  0.5000
Sb  0.5000  0.0000  0.5000

***

[6]
Entry from Alexandria via LeMat-Bulk: a geometry-optimized YBe2SnSb structure (PBEsol).

Results
DOS(E_F): 2.0 states/eV/f.u.
symmetry: No. 123
DFT total energy: -4.2230 eV per atom
total moment: 0.00 μB/cell

Lattice parameters (Å, degrees): 4.5462 4.5462 5.7924 90.00 90.00 90.00
Atoms (fractional coordinates):
Y  0.0000  0.0000  0.0000
Be  0.0000  0.5000  0.5000
Be  0.5000  0.0000  0.5000
Sn  0.5000  0.5000  0.0000
Sb  0.0000  0.0000  0.5000